# 1
# meta-GGA SCAN KIrRu, single point on PBEsol structure
data_KIrRu
_chemical_formula_sum 'K4 Ir4 Ru4'
_space_group_name_H-M_alt 'F -4 3 m'
_space_group_IT_number 216
_space_group_name_Hall 'F -4 2 3'
_cell_length_a 6.2207
_cell_length_b 6.2207
_cell_length_c 6.2207
_cell_angle_alpha 90.00
_cell_angle_beta 90.00
_cell_angle_gamma 90.00
loop_
_atom_site_label
_atom_site_fract_x
_atom_site_fract_y
_atom_site_fract_z
K1 0.0000 0.0000 0.0000
Ir1 0.2500 0.2500 0.7500
Ru1 0.2500 0.2500 0.2500
# Spin magnetization = 3.0 μB per formula unit
# Excess energy over the best structure of this formula in the dataset = 5.726 eV/f.u.
# Formation enthalpy at 0 K = 2.73 eV/atom
# Total DFT energy (no corrections) = -35.3512 eV/atom


# 2
# meta-GGA SCAN Hf6Al16Ir7, single point on PBEsol structure
data_Hf6Al16Ir7
_chemical_formula_sum 'Hf24 Al64 Ir28'
_space_group_name_H-M_alt 'F m -3 m'
_space_group_IT_number 225
_space_group_name_Hall '-F 4 2 3'
_cell_length_a 12.3243
_cell_length_b 12.3243
_cell_length_c 12.3243
_cell_angle_alpha 90.00
_cell_angle_beta 90.00
_cell_angle_gamma 90.00
loop_
_atom_site_label
_atom_site_fract_x
_atom_site_fract_y
_atom_site_fract_z
Hf1 0.0000 0.0000 0.1860
Al1 0.1196 0.1196 0.3804
Al2 0.1625 0.1625 0.1625
Ir1 0.0000 0.0000 0.5000
Ir2 0.0000 0.2500 0.2500
# Spin magnetization = 0.0 μB per formula unit
# Formation enthalpy at 0 K = -0.99 eV/atom
# Total DFT energy (no corrections) = -35.3946 eV/atom


# 3
# meta-GGA SCAN ScTl2Pb, single point on PBEsol structure
data_ScTl2Pb
_chemical_formula_sum 'Sc1 Tl2 Pb1'
_space_group_name_H-M_alt 'P 4/m m m'
_space_group_IT_number 123
_space_group_name_Hall '-P 4 2'
_cell_length_a 3.8261
_cell_length_b 3.8261
_cell_length_c 6.9030
_cell_angle_alpha 90.00
_cell_angle_beta 90.00
_cell_angle_gamma 90.00
loop_
_atom_site_label
_atom_site_fract_x
_atom_site_fract_y
_atom_site_fract_z
Sc1 0.0000 0.0000 0.0000
Tl1 0.5000 0.5000 0.2359
Pb1 0.0000 0.0000 0.5000
# Spin magnetization = 0.0 μB per formula unit
# Formation enthalpy at 0 K = -0.09 eV/atom
# Total DFT energy (no corrections) = -58.7772 eV/atom


# 4
# meta-GGA SCAN Li3Cu, single point on PBEsol structure
data_Li3Cu
_chemical_formula_sum 'Li3 Cu1'
_space_group_name_H-M_alt 'P m m 2'
_space_group_IT_number 25
_space_group_name_Hall 'P 2 -2'
_cell_length_a 2.6323
_cell_length_b 4.4436
_cell_length_c 4.9374
_cell_angle_alpha 90.00
_cell_angle_beta 90.00
_cell_angle_gamma 90.00
loop_
_atom_site_label
_atom_site_fract_x
_atom_site_fract_y
_atom_site_fract_z
Li1 0.0000 0.0000 0.0000
Li2 0.0000 0.5000 0.3150
Li3 0.5000 0.5000 0.7798
Cu1 0.5000 0.0000 0.4966
# Spin magnetization = 0.0 μB per formula unit
# Formation enthalpy at 0 K = 0.04 eV/atom
# Total DFT energy (no corrections) = -5.5519 eV/atom


# 5
# meta-GGA SCAN Zn2TcAu, single point on PBEsol structure
data_Zn2TcAu
_chemical_formula_sum 'Zn2 Tc1 Au1'
_space_group_name_H-M_alt 'P 4/m m m'
_space_group_IT_number 123
_space_group_name_Hall '-P 4 2'
_cell_length_a 4.0488
_cell_length_b 4.0488
_cell_length_c 3.4868
_cell_angle_alpha 90.00
_cell_angle_beta 90.00
_cell_angle_gamma 90.00
loop_
_atom_site_label
_atom_site_fract_x
_atom_site_fract_y
_atom_site_fract_z
Zn1 0.0000 0.5000 0.0000
Tc1 0.0000 0.0000 0.5000
Au1 0.5000 0.5000 0.5000
# Spin magnetization = 0.0 μB per formula unit
# Excess energy over the best structure of this formula in the dataset = 0.000 eV/f.u.
# Formation enthalpy at 0 K = -0.04 eV/atom
# Total DFT energy (no corrections) = -32.8537 eV/atom


# 6
# meta-GGA SCAN BaIn2As, single point on PBEsol structure
data_BaIn2As
_chemical_formula_sum 'Ba2 In4 As2'
_space_group_name_H-M_alt 'C m m m'
_space_group_IT_number 65
_space_group_name_Hall '-C 2 2'
_cell_length_a 6.3965
_cell_length_b 7.9135
_cell_length_c 4.8628
_cell_angle_alpha 90.00
_cell_angle_beta 90.00
_cell_angle_gamma 90.00
loop_
_atom_site_label
_atom_site_fract_x
_atom_site_fract_y
_atom_site_fract_z
Ba1 0.0000 0.0000 0.0000
In1 0.0000 0.3066 0.5000
As1 0.0000 0.5000 0.0000
# Spin magnetization = 0.0 μB per formula unit
# Formation enthalpy at 0 K = -0.53 eV/atom
# Total DFT energy (no corrections) = -32.1599 eV/atom


# 7
# meta-GGA SCAN Li2ScMo, single point on PBEsol structure
data_Li2ScMo
_chemical_formula_sum 'Li2 Sc1 Mo1'
_space_group_name_H-M_alt 'P m m m'
_space_group_IT_number 47
_space_group_name_Hall '-P 2 2'
_cell_length_a 2.6466
_cell_length_b 4.9536
_cell_length_c 5.2114
_cell_angle_alpha 90.00
_cell_angle_beta 90.00
_cell_angle_gamma 90.00
loop_
_atom_site_label
_atom_site_fract_x
_atom_site_fract_y
_atom_site_fract_z
Li1 0.0000 0.0000 0.2230
Sc1 0.5000 0.5000 0.5000
Mo1 0.5000 0.5000 0.0000
# Spin magnetization = 0.0 μB per formula unit
# Formation enthalpy at 0 K = 0.50 eV/atom
# Total DFT energy (no corrections) = -12.9768 eV/atom


# 8
# meta-GGA SCAN TaP2Pt, single point on PBEsol structure
data_TaP2Pt
_chemical_formula_sum 'Ta2 P4 Pt2'
_space_group_name_H-M_alt 'C 1 2/m 1'
_space_group_IT_number 12
_space_group_name_Hall '-C 2y'
_cell_length_a 5.9354
_cell_length_b 8.0911
_cell_length_c 2.8264
_cell_angle_alpha 90.00
_cell_angle_beta 117.86
_cell_angle_gamma 90.00
loop_
_atom_site_label
_atom_site_fract_x
_atom_site_fract_y
_atom_site_fract_z
Ta1 0.0000 0.0000 0.0000
P1 0.2500 0.2500 0.5000
Pt1 0.0000 0.5000 0.0000
# Spin magnetization = 0.0 μB per formula unit
# Excess energy over the best structure of this formula in the dataset = 1.260 eV/f.u.
# Formation enthalpy at 0 K = -0.04 eV/atom
# Total DFT energy (no corrections) = -39.4383 eV/atom


# 9
# meta-GGA SCAN Mn2NiAu, single point on PBEsol structure
data_Mn2NiAu
_chemical_formula_sum 'Mn4 Ni2 Au2'
_space_group_name_H-M_alt 'I 4/m m m'
_space_group_IT_number 139
_space_group_name_Hall '-I 4 2'
_cell_length_a 3.8441
_cell_length_b 3.8441
_cell_length_c 7.3307
_cell_angle_alpha 90.00
_cell_angle_beta 90.00
_cell_angle_gamma 90.00
loop_
_atom_site_label
_atom_site_fract_x
_atom_site_fract_y
_atom_site_fract_z
Mn1 0.0000 0.5000 0.2500
Ni1 0.0000 0.0000 0.0000
Au1 0.0000 0.0000 0.5000
# Spin magnetization = 8.7 μB per formula unit
# Excess energy over the best structure of this formula in the dataset = 0.000 eV/f.u.
# Formation enthalpy at 0 K = -0.36 eV/atom
# Total DFT energy (no corrections) = -30.8181 eV/atom


# 10
# meta-GGA SCAN BeTeBr, single point on PBEsol structure
data_BeTeBr
_chemical_formula_sum 'Be4 Te4 Br4'
_space_group_name_H-M_alt 'F -4 3 m'
_space_group_IT_number 216
_space_group_name_Hall 'F -4 2 3'
_cell_length_a 6.5146
_cell_length_b 6.5146
_cell_length_c 6.5146
_cell_angle_alpha 90.00
_cell_angle_beta 90.00
_cell_angle_gamma 90.00
loop_
_atom_site_label
_atom_site_fract_x
_atom_site_fract_y
_atom_site_fract_z
Be1 0.0000 0.0000 0.0000
Te1 0.2500 0.2500 0.7500
Br1 0.2500 0.2500 0.2500
# Spin magnetization = 0.0 μB per formula unit
# Excess energy over the best structure of this formula in the dataset = 0.000 eV/f.u.
# Formation energy (no corrections) = 464 meV per atom
# Total DFT energy (no corrections) = -19.8908 eV/atom


# 11
# meta-GGA SCAN LaAl2Ni, single point on PBEsol structure
data_LaAl2Ni
_chemical_formula_sum 'La3 Al6 Ni3'
_space_group_name_H-M_alt 'R 3 m'
_space_group_IT_number 160
_space_group_name_Hall 'R 3 -2"'
_cell_length_a 4.1968
_cell_length_b 4.1968
_cell_length_c 15.9765
_cell_angle_alpha 90.00
_cell_angle_beta 90.00
_cell_angle_gamma 120.00
loop_
_atom_site_label
_atom_site_fract_x
_atom_site_fract_y
_atom_site_fract_z
La1 0.0000 0.0000 0.0000
Al1 0.0000 0.0000 0.2012
Al2 0.0000 0.0000 0.4712
Ni1 0.0000 0.0000 0.8156
# Spin magnetization = 0.0 μB per formula unit
# Formation enthalpy at 0 K = -0.53 eV/atom
# Total DFT energy (no corrections) = -19.2242 eV/atom


# 12
# meta-GGA SCAN KLa2Au, single point on PBEsol structure
data_KLa2Au
_chemical_formula_sum 'K4 La8 Au4'
_space_group_name_H-M_alt 'F -4 3 m'
_space_group_IT_number 216
_space_group_name_Hall 'F -4 2 3'
_cell_length_a 7.6558
_cell_length_b 7.6558
_cell_length_c 7.6558
_cell_angle_alpha 90.00
_cell_angle_beta 90.00
_cell_angle_gamma 90.00
loop_
_atom_site_label
_atom_site_fract_x
_atom_site_fract_y
_atom_site_fract_z
K1 0.0000 0.0000 0.0000
La1 0.0000 0.0000 0.5000
La2 0.2500 0.2500 0.7500
Au1 0.2500 0.2500 0.2500
# Spin magnetization = 0.0 μB per formula unit
# Excess energy over the best structure of this formula in the dataset = 1.514 eV/f.u.
# Formation enthalpy at 0 K = 0.10 eV/atom
# Total DFT energy (no corrections) = -40.8265 eV/atom